Entry 1:
A plane-wave DFT calculation with PBE was carried out for a relaxed structure of TiTlV2.

a b c (Å): 3.8486 3.8486 10.0822
angles (deg): 79.00 79.00 90.00
Last column: nearest neighbours and their distance in Å.
Sites, in units of the cell vectors:
Tl (0.0000, 0.0000, 0.0000)  4 Ti 2.72, 4 V 2.81
Tl (0.7500, 0.2500, 0.5000)  4 Ti 2.72, 4 V 2.81
V (0.6053, 0.1250, 0.2500)  4 V 2.62-2.83, 2 Ti 2.76, 2 Tl 2.81
V (0.1447, 0.6250, 0.2500)  4 V 2.62-2.83, 2 Ti 2.76, 2 Tl 2.81
V (0.3750, 0.3947, 0.7500)  4 V 2.62-2.83, 2 Ti 2.76, 2 Tl 2.81
V (0.8750, 0.8553, 0.7500)  4 V 2.62-2.83, 2 Ti 2.76, 2 Tl 2.81
Ti (0.5000, 0.5000, 0.0000)  4 Tl 2.72, 4 V 2.76
Ti (0.2500, 0.7500, 0.5000)  4 Tl 2.72, 4 V 2.76

Summary:
- Energy of formation from the pure elements: 0.69 eV/atom
- Energy above the lowest structure with this stoichiometry: 296 meV/atom
- Space group: I-42d, No. 122
- Calculated total energy: -6.433 eV per atom



Entry 2:
A plane-wave DFT calculation with PBE was carried out for a relaxed structure of HgSbO2.

a b c (Å): 9.1671 9.1671 9.1671
angles (deg): 21.41 21.41 21.41
Last column: nearest neighbours and their distance in Å.
Sites, in units of the cell vectors:
Sb (0.5000, 0.5000, 0.5000)  6 O 2.19
Hg (0.0000, 0.0000, 0.0000)  6 Hg 3.41, 2 O 3.50
O (0.8696, 0.8696, 0.8696)  3 Sb 2.19
O (0.1304, 0.1304, 0.1304)  3 Sb 2.19

Summary:
- Formation energy without anion corrections: -0.724 eV per atom
- Energy above the lowest structure with this stoichiometry: 49 meV/atom
- Space group: R-3m, No. 166
- Calculated total energy: -4.310 eV per atom